The following is a DFT calculation (PBE-GGA) of a relaxed TaAlCu2 crystal.

Summary:
DFT total energy: -5.823 eV/atom
Total moment: 0.00 Bohr magnetons per cell
Formation energy: 0.12 eV/atom

a = 6.138 Å, b = 6.138 Å, c = 6.138 Å
α = 90.00°, β = 90.00°, γ = 90.00°
Space group F-43m (No. 216)
Inequivalent atoms, fractional coordinates:
Ta: 0.000 0.000 0.000 x4
Al: 0.250 0.250 0.250 x4
Cu: 0.000 0.000 0.500 x4
Cu: 0.250 0.250 0.750 x4



The following is a DFT calculation (PBE-GGA) of a relaxed Ta4AlCu crystal.

Summary:
DFT total energy: -8.663 eV/atom
Total moment: 0.00 Bohr magnetons per cell
Formation energy: 0.55 eV/atom

a = 7.658 Å, b = 7.658 Å, c = 7.658 Å
α = 90.00°, β = 90.00°, γ = 90.00°
Space group F-43m (No. 216)
Inequivalent atoms, fractional coordinates:
Ta: 0.125 0.125 0.125 x16
Al: 0.000 0.000 0.500 x4
Cu: 0.250 0.250 0.750 x4



The following is a DFT calculation (PBE-GGA) of a relaxed TaAl2Cu crystal.

Summary:
DFT total energy: -5.965 eV/atom
Total moment: 0.00 Bohr magnetons per cell
Formation energy: -0.11 eV/atom

a = 3.771 Å, b = 3.771 Å, c = 8.617 Å
α = 90.00°, β = 90.00°, γ = 90.00°
Space group I-4m2 (No. 119)
Inequivalent atoms, fractional coordinates:
Ta: 0.000 0.000 0.000 x2
Al: 0.000 0.000 0.500 x2
Al: 0.000 0.500 0.750 x2
Cu: 0.000 0.500 0.250 x2



The following is a DFT calculation (PBE-GGA) of a relaxed TaAlCu2 crystal.

Summary:
DFT total energy: -5.924 eV/atom
Total moment: 0.00 Bohr magnetons per cell
Formation energy: 0.02 eV/atom

a = 10.229 Å, b = 2.765 Å, c = 4.581 Å
α = 90.00°, β = 116.56°, γ = 90.00°
Space group Cm (No. 8)
Inequivalent atoms, fractional coordinates:
Ta: 0.000 0.000 0.000 x2
Al: 0.233 0.000 0.729 x2
Cu: 0.266 0.500 0.262 x2
Cu: 0.499 0.000 0.500 x2



The following is a DFT calculation (PBE-GGA) of a relaxed TaAl3Cu crystal.

Summary:
DFT total energy: -4.268 eV/atom
Total moment: 0.00 Bohr magnetons per cell
Formation energy: 1.17 eV/atom

a = 5.011 Å, b = 5.011 Å, c = 5.011 Å
α = 90.00°, β = 90.00°, γ = 90.00°
Space group Pm-3m (No. 221)
Inequivalent atoms, fractional coordinates:
Ta: 0.000 0.000 0.000 x1
Al: 0.000 0.000 0.500 x3
Cu: 0.500 0.500 0.500 x1



The following is a DFT calculation (PBE-GGA) of a relaxed TaAl2Cu crystal.

Summary:
DFT total energy: -5.930 eV/atom
Total moment: 0.00 Bohr magnetons per cell
Formation energy: -0.07 eV/atom

a = 2.857 Å, b = 4.324 Å, c = 5.141 Å
α = 90.00°, β = 90.03°, γ = 90.00°
Space group Pm (No. 6)
Inequivalent atoms, fractional coordinates:
Ta: 0.000 0.000 0.000 x1
Al: 0.499 0.000 0.508 x1
Al: 0.501 0.500 0.225 x1
Cu: 0.499 0.500 0.750 x1